# 1
Entry from Alexandria via LeMat-Bulk: crystalline Tl2Te at its relaxed geometry (GGA-PBE).

a b c (Å): 5.7334 5.7334 7.1741
angles (deg): 90.00 90.00 120.00
With the nearest neighbours (Å) after each atom.
Positions (direct):
Te: 0.6667 0.3333 0.2500  5 Tl 3.31-3.59
Te: 0.3333 0.6667 0.7500  5 Tl 3.31-3.59
Tl: 0.3333 0.6667 0.2500  5 Te 3.31-3.59
Tl: 0.0000 0.0000 0.5000  8 Tl 3.59-3.76, 6 Te 3.76
Tl: 0.6667 0.3333 0.7500  5 Te 3.31-3.59
Tl: 0.0000 0.0000 0.0000  8 Tl 3.59-3.76, 6 Te 3.76

Properties
ΔE to the lowest computed polymorph = 0.048 eV per atom
ΔE_f (raw) = -0.25 eV per atom
Fermi-level density of states = 1.1 states/eV per cell



# 2
Entry from Alexandria via LeMat-Bulk: crystalline Na2HfSb at its relaxed geometry (GGA-PBE).

a b c (Å): 4.1640 4.1640 12.5237
angles (deg): 80.43 80.43 90.00
With the nearest neighbours (Å) after each atom.
Positions (direct):
Hf: 0.7500 0.2500 0.5000  4 Sb 2.94
Hf: 0.0000 0.0000 0.0000  4 Sb 2.94
Sb: 0.5000 0.5000 0.0000  4 Hf 2.94
Sb: 0.2500 0.7500 0.5000  4 Hf 2.94
Na: 0.6197 0.1250 0.2500  4 Na 2.91-2.98
Na: 0.8750 0.8697 0.7500  4 Na 2.91-2.98
Na: 0.1303 0.6250 0.2500  4 Na 2.91-2.98
Na: 0.3750 0.3803 0.7500  4 Na 2.91-2.98

Properties
ΔE_f (raw) = 0.12 eV per atom
Fermi-level density of states = 4.8 states/eV per cell



# 3
Entry from Alexandria via LeMat-Bulk: crystalline SrCrSN2 at its relaxed geometry (GGA-PBE).

a b c (Å): 4.7175 4.7175 5.7813
angles (deg): 90.00 90.00 90.00
With the nearest neighbours (Å) after each atom.
Positions (direct):
Sr: 0.0000 0.0000 0.0000  4 N 2.36
N: 0.0000 0.5000 0.0000  2 Sr 2.36
N: 0.5000 0.0000 0.0000  2 Sr 2.36
S: 0.0000 0.0000 0.5000  2 Sr 2.89
Cr: 0.5000 0.5000 0.5000  4 S 3.34, 8 N 3.73

Properties
ΔE to the lowest computed polymorph = 1.901 eV per atom
ΔE_f (raw) = 1.57 eV per atom
Fermi-level density of states = 3.5 states/eV per cell



# 4
Entry from Alexandria via LeMat-Bulk: crystalline LiNdEuSc at its relaxed geometry (GGA-PBE).

a b c (Å): 5.5470 5.5470 5.5470
angles (deg): 60.00 60.00 60.00
With the nearest neighbours (Å) after each atom.
Positions (direct):
Li: 0.0000 0.0000 0.0000  4 Nd 3.40, 4 Eu 3.40
Sc: 0.5000 0.5000 0.5000  4 Eu 3.40, 4 Nd 3.40
Eu: 0.7500 0.7500 0.7500  4 Li 3.40, 4 Sc 3.40
Nd: 0.2500 0.2500 0.2500  4 Sc 3.40, 4 Li 3.40

Properties
E = -22.5 eV per cell
Fermi-level density of states = 4.9 states/eV per cell



# 5
Entry from Alexandria via LeMat-Bulk: crystalline NpAgPb2 at its relaxed geometry (GGA-PBE).

a b c (Å): 5.2909 5.2909 5.2903
angles (deg): 60.00 60.00 60.00
With the nearest neighbours (Å) after each atom.
Positions (direct):
Ag: 0.0000 0.0000 0.0000  8 Pb 3.24
Pb: 0.7500 0.7500 0.7499  4 Ag 3.24, 4 Np 3.24
Pb: 0.2500 0.2500 0.2501  4 Ag 3.24, 4 Np 3.24
Np: 0.5000 0.5000 0.5000  8 Pb 3.24

Properties
ΔE to the lowest computed polymorph = 0.121 eV per atom
Fermi-level density of states = 12.4 states/eV per cell



# 6
Entry from Alexandria via LeMat-Bulk: crystalline YTaCr2 at its relaxed geometry (GGA-PBE).

a b c (Å): 4.6686 4.6686 4.6686
angles (deg): 60.00 60.00 60.00
With the nearest neighbours (Å) after each atom.
Positions (direct):
Ta: 0.5000 0.5000 0.5000  4 Y 2.86, 4 Cr 2.86
Cr: 0.0000 0.0000 0.0000  4 Cr 2.86, 4 Y 2.86
Cr: 0.2500 0.2500 0.2500  4 Cr 2.86, 4 Ta 2.86
Y: 0.7500 0.7500 0.7500  4 Ta 2.86, 4 Cr 2.86

Properties
ΔE to the lowest computed polymorph = 0.333 eV per atom
Fermi-level density of states = 5.1 states/eV per cell



# 7
Entry from Alexandria via LeMat-Bulk: crystalline NaCaBiAu at its relaxed geometry (GGA-PBE).

a b c (Å): 5.2827 5.2827 5.2827
angles (deg): 60.00 60.00 60.00
With the nearest neighbours (Å) after each atom.
Positions (direct):
Au: 0.0000 0.0000 0.0000  4 Na 3.23, 4 Ca 3.23
Bi: 0.5000 0.5000 0.5000  4 Ca 3.23, 4 Na 3.23
Na: 0.2500 0.2500 0.2500  4 Bi 3.23, 4 Au 3.23
Ca: 0.7500 0.7500 0.7500  4 Au 3.23, 4 Bi 3.23

Properties
E = -12.6 eV per cell
Fermi-level density of states = 1.9 states/eV per cell



# 8
Entry from Alexandria via LeMat-Bulk: crystalline BeTcS2 at its relaxed geometry (GGA-PBE).

a b c (Å): 5.1872 5.1872 6.0655
angles (deg): 64.68 64.68 90.00
With the nearest neighbours (Å) after each atom.
Positions (direct):
S: 0.8750 0.8421 0.7500  2 Be 2.10, 2 Tc 2.30
S: 0.3750 0.4079 0.7500  2 Be 2.10, 2 Tc 2.30
S: 0.5921 0.1250 0.2500  2 Be 2.10, 2 Tc 2.30
S: 0.1579 0.6250 0.2500  2 Be 2.10, 2 Tc 2.30
Tc: 0.0000 0.0000 0.0000  4 S 2.30
Tc: 0.7500 0.2500 0.5000  4 S 2.30
Be: 0.2500 0.7500 0.5000  4 S 2.10
Be: 0.5000 0.5000 0.0000  4 S 2.10

Properties
ΔE_f (raw) = -0.33 eV per atom
Fermi-level density of states = 5.1 states/eV per cell



The lowest Fermi-level density of states belongs to which entry?
Tl2Te



Number 8 is which compound?
BeTcS2



The lowest Fermi-level density of states belongs to which entry?
Tl2Te



Fermi-level density of states of number 6 (YTaCr2)?
5.1 states/eV per cell